Density functional theory data (PBE) for an optimized crystal structure of Tb4Pr2Nd2Sm.

Summary:
Calculated density   7.381 Mg/m³
Total DFT energy (no corrections)   -4.700 eV per atom
E_form   4 meV per atom

```
data_Tb4Pr2Nd2Sm
_chemical_formula_sum 'Tb4 Pr2 Nd2 Sm1'
_space_group_name_H-M_alt 'P 1'
_space_group_IT_number 1
_space_group_name_Hall 'P 1'
_cell_length_a 3.664
_cell_length_b 9.674
_cell_length_c 9.733
_cell_angle_alpha 115.23
_cell_angle_beta 90.00
_cell_angle_gamma 100.92
loop_
_atom_site_label
_atom_site_type_symbol
_atom_site_fract_x
_atom_site_fract_y
_atom_site_fract_z
Tb1 Tb 0.815 0.630 0.664
Tb2 Tb 0.185 0.370 0.336
Tb3 Tb 0.519 0.039 0.332
Tb4 Tb 0.481 0.961 0.668
Pr1 Pr 0.334 0.669 0.999
Pr2 Pr 0.666 0.331 0.001
Nd1 Nd 0.853 0.706 0.337
Nd2 Nd 0.147 0.294 0.663
Sm1 Sm 0.000 0.000 0.000
```

Density functional theory data (PBE) for an optimized crystal structure of SrAlHg2.

Summary:
Calculated density   7.882 Mg/m³
Total DFT energy (no corrections)   -1.811 eV per atom
E_form   -304 meV per atom

```
data_SrAlHg2
_chemical_formula_sum 'Sr1 Al1 Hg2'
_space_group_name_H-M_alt 'P 1'
_space_group_IT_number 1
_space_group_name_Hall 'P 1'
_cell_length_a 4.685
_cell_length_b 4.685
_cell_length_c 6.329
_cell_angle_alpha 68.11
_cell_angle_beta 68.11
_cell_angle_gamma 60.10
loop_
_atom_site_label
_atom_site_type_symbol
_atom_site_fract_x
_atom_site_fract_y
_atom_site_fract_z
Sr1 Sr 0.250 0.250 0.250
Hg1 Hg 0.030 0.030 0.909
Hg2 Hg 0.470 0.470 0.591
Al1 Al 0.750 0.750 0.750
```

Density functional theory data (PBE) for an optimized crystal structure of CePrZnCo.

Summary:
Calculated density   7.493 Mg/m³
Total DFT energy (no corrections)   -4.834 eV per atom
E_form   -61 meV per atom

```
data_CePrZnCo
_chemical_formula_sum 'Ce1 Pr1 Zn1 Co1'
_space_group_name_H-M_alt 'P 1'
_space_group_IT_number 1
_space_group_name_Hall 'P 1'
_cell_length_a 5.027
_cell_length_b 5.027
_cell_length_c 5.027
_cell_angle_alpha 60.00
_cell_angle_beta 60.00
_cell_angle_gamma 60.00
loop_
_atom_site_label
_atom_site_type_symbol
_atom_site_fract_x
_atom_site_fract_y
_atom_site_fract_z
Pr1 Pr 0.000 0.000 0.000
Zn1 Zn 0.250 0.250 0.250
Co1 Co 0.750 0.750 0.750
Ce1 Ce 0.500 0.500 0.500
```